# InTePd, relaxed, DFT GGA-PBE
# * VASP energy: -4.0221 eV per atom
# * E_form (uncorrected): -331 meV per atom
data_InTePd
_chemical_formula_sum 'In1 Te1 Pd1'
_symmetry_space_group_name_H-M 'P 1'
_symmetry_Int_Tables_number 1
_symmetry_space_group_name_Hall 'P 1'
_cell_length_a 4.699
_cell_length_b 4.699
_cell_length_c 4.699
_cell_angle_alpha 60.00
_cell_angle_beta 60.00
_cell_angle_gamma 60.00
loop_
_atom_site_label
_atom_site_fract_x
_atom_site_fract_y
_atom_site_fract_z
Te1 0.000 0.000 0.000
Pd1 0.250 0.250 0.250
In1 0.500 0.500 0.500